Density functional theory data (meta-GGA SCAN) for a PBEsol-optimized structure of YCo2Cl.

D(E_F) = 1.8 states/eV per cell
Total DFT energy (no corrections) = -17.73 eV per atom
ΔE_f (raw) = -0.122 eV/atom
Calculated volume = 66.0 Å³/cell
Energy above the lowest structure with this stoichiometry = 370 meV per atom

Lattice parameters (Å, degrees): 3.5771 3.5771 5.1567 90.00 90.00 90.00
Closest atoms and distances in Å follow each position.
Space group P4/mmm (No. 123)
Inequivalent atoms, fractional coordinates:
Y1 0.0000 0.0000 0.0000 x1  4 Cl 2.53
Co1 0.0000 0.5000 0.5000 x2  4 Co 2.53
Cl1 0.5000 0.5000 0.0000 x1  4 Y 2.53

***

Density functional theory data (meta-GGA SCAN) for a PBEsol-optimized structure of InNiAu.

Formation energy = -0.0669 eV/atom
D(E_F) = 6.9 states/eV per cell
Total DFT energy (no corrections) = -39.64 eV per atom
Calculated volume = 212.5 Å³/cell

Lattice parameters (Å, degrees): 5.9679 5.9679 5.9679 90.00 90.00 90.00
Closest atoms and distances in Å follow each position.
Space group F-43m (No. 216)
Inequivalent atoms, fractional coordinates:
In1 0.0000 0.0000 0.0000 x4  4 Ni 2.58
Ni1 0.2500 0.2500 0.7500 x4  4 In 2.58, 4 Au 2.58
Au1 0.0000 0.0000 0.5000 x4  4 Ni 2.58

***

Density functional theory data (meta-GGA SCAN) for a PBEsol-optimized structure of La2BeAg.

Formation energy = 0.1104 eV/atom
D(E_F) = 8.5 states/eV per cell
Total DFT energy (no corrections) = -30.37 eV per atom
Calculated volume = 186.6 Å³/cell

Lattice parameters (Å, degrees): 4.3510 4.3510 9.8544 90.00 90.00 90.00
Closest atoms and distances in Å follow each position.
Space group I-4m2 (No. 119)
Inequivalent atoms, fractional coordinates:
La1 0.0000 0.0000 0.0000 x2  4 Ag 3.08, 4 La 3.29, 4 Be 3.29
La2 0.0000 0.5000 0.2500 x2  4 Be 3.08, 4 La 3.29, 4 Ag 3.29
Be1 0.0000 0.5000 0.7500 x2  8 La 3.08-3.29, 4 Ag 3.29
Ag1 0.0000 0.0000 0.5000 x2  8 La 3.08-3.29, 4 Be 3.29

***

Density functional theory data (meta-GGA SCAN) for a PBEsol-optimized structure of LiAl2Cr2.

Formation energy = -0.0270 eV/atom
D(E_F) = 4.9 states/eV per cell
Total DFT energy (no corrections) = -10.96 eV per atom
Calculated volume = 152.9 Å³/cell

Lattice parameters (Å, degrees): 7.2355 7.2355 2.9209 90.00 90.00 90.00
Closest atoms and distances in Å follow each position.
Space group P4/mbm (No. 127)
Inequivalent atoms, fractional coordinates:
Li1 0.0000 0.0000 0.0000 x2  4 Al 2.82, 2 Li 2.92, 8 Cr 3.08
Al1 0.1342 0.3658 0.0000 x4  6 Cr 2.55-2.60, 1 Al 2.75, 2 Li 2.82
Cr1 0.1618 0.6618 0.5000 x4  6 Al 2.55-2.60

***

Density functional theory data (meta-GGA SCAN) for a PBEsol-optimized structure of SnBi2Au2.

Formation energy = 0.0967 eV/atom
D(E_F) = 3.4 states/eV per cell
Total DFT energy (no corrections) = -66.18 eV per atom
Calculated volume = 250.1 Å³/cell
Energy above the lowest structure with this stoichiometry = 14 meV per atom

Lattice parameters (Å, degrees): 3.8879 3.8879 16.5433 90.00 90.00 90.00
Closest atoms and distances in Å follow each position.
Space group I4/mmm (No. 139)
Inequivalent atoms, fractional coordinates:
Sn1 0.0000 0.0000 0.0000 x2  8 Bi 3.30
Bi1 0.0000 0.0000 0.3896 x4  4 Au 3.02, 4 Sn 3.30
Au1 0.0000 0.5000 0.2500 x4  4 Au 2.75, 4 Bi 3.02

***

Density functional theory data (meta-GGA SCAN) for a PBEsol-optimized structure of CuTcTe.

D(E_F) = 2.2 states/eV per cell
Total DFT energy (no corrections) = -28.58 eV per atom
ΔE_f (raw) = 0.588 eV/atom
Calculated volume = 50.8 Å³/cell

Lattice parameters (Å, degrees): 4.3041 4.3041 3.1649 90.00 90.00 120.00
Closest atoms and distances in Å follow each position.
Space group P3m1 (No. 156)
Inequivalent atoms, fractional coordinates:
Cu1 0.0000 0.0000 0.0000 x1  6 Te 2.83-3.07, 6 Tc 2.91-2.99, 2 Cu 3.16
Tc1 0.3333 0.6667 0.4769 x1  3 Te 2.50
Te1 0.6667 0.3333 0.5692 x1  3 Tc 2.50

***

> Among the records above, which one has the highest D(E_F)?

La2BeAg